Below is a relaxed CsBN2 crystal, with properties calculated at the PBE-GGA level.

Cell and atoms, written as extended XYZ:
```
4
Lattice="2.7625 0.0000 6.0116 -1.3812 2.3924 6.0116 -1.3812 -2.3924 6.0116" Properties=species:S:1:pos:R:3 pbc="T T T"
N 0.0000 0.0000 16.6980
N 0.0000 0.0000 1.3369
Cs 0.0000 0.0000 9.0175
B 0.0000 0.0000 0.0000
```

space-group type = No. 166
volume = 29.797 Å³/atom
raw formation energy = 0.25 eV/atom
D(E_F) = 0.000 states/eV per atom
density = 2.39 g/cm3
magnetization = 2.0 Bohr magnetons per cell

Below is a relaxed Cs3BN2 crystal, with properties calculated at the PBE-GGA level.

Cell and atoms, written as extended XYZ:
```
12
Lattice="-2.7193 -6.4677 -0.9193 3.8836 -2.9172 -5.1457 4.4716 -4.3673 3.3171" Properties=species:S:1:pos:R:3 pbc="T T T"
N 5.1276 -12.5121 -2.5001
N 3.3262 -8.1163 -1.6218
N 0.5082 -1.2402 -0.2478
N 2.3097 -5.6360 -1.1262
Cs 4.9317 -4.4349 -2.3285
Cs 2.1931 -6.4023 1.9008
Cs 5.7158 -7.3991 0.2593
Cs 3.4428 -7.3500 -4.6487
Cs -0.0800 -6.3531 -3.0072
Cs 0.7042 -9.3174 -0.4195
B 2.8179 -6.8761 -1.3740
B 0.0000 0.0000 0.0000
```

space-group type = No. 167
volume = 26.930 Å³/atom
raw formation energy = -0.34 eV/atom
E above lowest polymorph = 0.00 eV per formula unit
D(E_F) = 0.000 states/eV per atom
density = 4.50 g/cm3
magnetization = 0.0 Bohr magnetons per cell

Below is a relaxed Cs2NbBN crystal, with properties calculated at the PBE-GGA level.

Cell and atoms, written as extended XYZ:
```
5
Lattice="6.9649 0.0000 0.0000 0.0000 2.9198 0.0000 0.0000 0.0000 6.9649" Properties=species:S:1:pos:R:3 pbc="T T T"
B 0.0000 1.4599 0.0000
Nb 3.4824 1.4599 3.4824
Cs 3.4824 0.0000 0.0000
Cs 0.0000 0.0000 3.4824
N 0.0000 0.0000 0.0000
```

space-group type = No. 123
volume = 28.328 Å³/atom
raw formation energy = 1.05 eV/atom
D(E_F) = 0.787 states/eV per atom
density = 4.50 g/cm3
magnetization = 2.7 Bohr magnetons per cell

Below is a relaxed CsBN2O crystal, with properties calculated at the PBE-GGA level.

Cell and atoms, written as extended XYZ:
```
5
Lattice="-2.4868 3.0665 2.8080 -3.3844 0.4078 -3.4427 -2.2431 -3.4627 1.7950" Properties=species:S:1:pos:R:3 pbc="T T T"
N -1.2434 1.5333 1.4040
N -1.6922 0.2039 -1.7213
O -1.1215 -1.7314 0.8975
Cs 0.0000 0.0000 0.0000
B -4.0572 0.0058 0.5802
```

space-group type = No. 123
volume = 21.122 Å³/atom
raw formation energy = 3.18 eV/atom
D(E_F) = 0.598 states/eV per atom
density = 2.95 g/cm3
magnetization = 3.0 Bohr magnetons per cell